Version a
A plane-wave DFT calculation with PBE was carried out for an optimized crystal structure of NaHCO3.

POSCAR file:
```
NaHCO3
1.0
3.553 0.000 0.000
0.000 9.797 0.000
-3.174 0.000 7.506
Na H C O
4 4 4 12
Direct
0.075 0.005 0.286
0.075 0.495 0.786
0.925 0.505 0.214
0.925 0.995 0.714
0.190 0.742 0.651
0.190 0.758 0.151
0.810 0.242 0.849
0.810 0.258 0.349
0.287 0.240 0.077
0.287 0.260 0.577
0.713 0.740 0.423
0.713 0.760 0.923
0.005 0.173 0.940
0.005 0.327 0.440
0.307 0.131 0.571
0.307 0.369 0.071
0.485 0.665 0.294
0.485 0.835 0.794
0.515 0.165 0.206
0.515 0.335 0.706
0.693 0.631 0.929
0.693 0.869 0.429
0.995 0.673 0.560
0.995 0.827 0.060
```

Calculated values
Total moment in μB/f.u.: 0.0
Density of states at the Fermi level in states/eV/cell: 0.0

=====

Version b
A plane-wave DFT calculation with PBE was carried out for an optimized crystal structure of NaHCO3.

POSCAR file:
```
NaHCO3
1.0
5.011 -2.697 0.000
5.011 2.697 0.000
-1.349 0.000 5.397
Na H C O
2 2 2 6
Direct
0.192 0.192 0.166
0.808 0.808 0.834
0.300 0.700 0.500
0.700 0.300 0.500
0.388 0.388 0.724
0.612 0.612 0.276
0.213 0.635 0.639
0.316 0.316 0.883
0.365 0.787 0.361
0.635 0.213 0.639
0.684 0.684 0.117
0.787 0.365 0.361
```

Calculated values
Total moment in μB/f.u.: 0.0
Density of states at the Fermi level in states/eV/cell: 0.0

=====

Referenced to the most stable arrangement, the calculated values in meV/atom are version a 0; version b 52.

=====

Version a
A plane-wave DFT calculation with PBE was carried out for an optimized crystal structure of SiPHC.

POSCAR file:
```
SiPHC
1.0
3.027 0.000 0.000
-0.146 3.433 0.000
-1.074 -0.567 5.802
Si P H C
1 1 1 1
Direct
0.000 0.000 0.000
0.431 0.407 0.286
0.170 0.951 0.778
0.857 0.510 0.093
```

Calculated values
Total moment in μB/f.u.: 0.0

=====

Version b
A plane-wave DFT calculation with PBE was carried out for an optimized crystal structure of SiPHC.

POSCAR file:
```
SiPHC
1.0
2.925 0.000 0.000
-1.463 2.533 0.000
0.000 0.000 6.515
Si P H C
1 1 1 1
Direct
0.000 0.000 0.000
0.000 0.000 0.345
0.333 0.667 0.633
0.333 0.667 0.463
```

Calculated values
Total moment in μB/f.u.: 0.0
Density of states at the Fermi level in states/eV/cell: 1.4

=====

Referenced to the most stable arrangement, the calculated values in meV/atom are version a 140; version b 0.

=====

Version a
A plane-wave DFT calculation with PBE was carried out for an optimized crystal structure of SiPHC.

POSCAR file:
```
SiPHC
1.0
3.322 0.000 0.000
-0.594 3.538 0.000
-1.246 -1.418 3.994
Si P H C
1 1 1 1
Direct
0.000 0.000 0.000
0.001 0.390 0.672
0.562 0.760 0.302
0.607 0.049 0.253
```

Calculated values
Total moment in μB/f.u.: 0.0
Density of states at the Fermi level in states/eV/cell: 0.1

=====

Version b
A plane-wave DFT calculation with PBE was carried out for an optimized crystal structure of SiPHC.

POSCAR file:
```
SiPHC
1.0
3.283 0.000 0.000
1.628 2.882 0.000
1.488 0.972 4.376
Si P H C
1 1 1 1
Direct
0.000 0.000 0.000
0.425 0.086 0.508
0.482 0.491 0.514
0.297 0.301 0.114
```

Calculated values
Total moment in μB/f.u.: 0.0
Density of states at the Fermi level in states/eV/cell: 0.2

=====

Referenced to the most stable arrangement, the calculated values in meV/atom are version a 0; version b 119.

=====

Version a
A plane-wave DFT calculation with PBE was carried out for an optimized crystal structure of SbTe2HC.

POSCAR file:
```
SbTe2HC
1.0
5.046 0.000 0.000
0.000 5.046 0.000
0.000 0.000 3.915
Sb Te H C
1 2 1 1
Direct
0.000 0.000 0.000
0.000 0.500 0.500
0.500 0.000 0.500
0.000 0.000 0.500
0.500 0.500 0.000
```

Calculated values
Total moment in μB/f.u.: 0.0
Density of states at the Fermi level in states/eV/cell: 4.4

=====

Version b
A plane-wave DFT calculation with PBE was carried out for an optimized crystal structure of SbTe2HC.

POSCAR file:
```
SbTe2HC
1.0
4.815 0.000 0.000
0.000 4.815 0.000
0.000 0.000 4.689
Sb Te H C
1 2 1 1
Direct
0.000 0.000 0.000
0.000 0.500 0.500
0.500 0.000 0.500
0.500 0.500 0.000
0.000 0.000 0.500
```

Calculated values
Total moment in μB/f.u.: 0.1
Density of states at the Fermi level in states/eV/cell: 2.8

=====

Referenced to the most stable arrangement, the calculated values in meV/atom are version a 247; version b 0.